Be2CdAg2 | the Alexandria database | GGA-PBE | optimized geometry; density of states at the Fermi level = 0.81 states/eV/f.u.; ΔE to the lowest computed polymorph = 0.107 eV/atom; spin magnetization = 0.000 μB per cell; V = 149.16 Å³/cell; DFT total energy = -2.5706 eV per atom
1.0
7.193 0.000 0.000
0.000 7.193 0.000
0.000 0.000 2.883
Be Cd Ag
4 2 4
Direct
0.153 0.347 0.000
0.347 0.847 0.000
0.653 0.153 0.000
0.847 0.653 0.000
0.000 0.000 0.500
0.500 0.500 0.500
0.141 0.641 0.500
0.359 0.141 0.500
0.641 0.859 0.500
0.859 0.359 0.500